# 1
Here is a relaxed structure of MgTlIO2 from the Alexandria database. Energies are from PBE.

Calculated values
Symmetry: P4/mmm (123)
Total moment (μB per cell): 1.7
Formation energy from raw total energies (kJ per mole of atoms): -51.2
Relative energy among the computed polymorphs (meV/atom): 0

a = 4.301 Å, b = 4.301 Å, c = 6.008 Å
α = 90.00°, β = 90.00°, γ = 90.00°
Last column: magnetic moment on the atom in μB.
Sites, in units of the cell vectors:
I  0.000  0.000  0.500  0.05
O  0.000  0.500  0.000  0.67
O  0.500  0.000  0.000  0.67
Tl  0.500  0.500  0.500  0.03
Mg  0.000  0.000  0.000  -0.01

---

# 2
Here is a relaxed structure of GaB2IrC from the Alexandria database. Energies are from PBE.

Calculated values
Symmetry: P4/mmm (123)
Total moment (μB per cell): 0.0
ΔH_f (0 K) (meV per atom): 1264

a = 3.448 Å, b = 4.611 Å, c = 3.448 Å
α = 90.00°, β = 90.00°, γ = 90.00°
Sites, in units of the cell vectors:
Ir  0.000  0.500  0.000
B  0.500  0.000  0.000
B  0.000  0.000  0.500
Ga  0.500  0.500  0.500
C  0.000  0.000  0.000

---

# 3
Here is a relaxed structure of Er3Ga7Co2 from the Alexandria database. Energies are from PBE.

Calculated values
Symmetry: I4/mmm (139)
Total moment (μB per cell): 0.0
ΔH_f (0 K) (meV per atom): -417
Relative energy among the computed polymorphs (meV/atom): 25

a = 3.916 Å, b = 3.916 Å, c = 14.586 Å
α = 97.72°, β = 97.72°, γ = 90.00°
Sites, in units of the cell vectors:
Ga  0.083  0.583  0.166
Ga  0.417  0.917  0.834
Ga  0.917  0.417  0.834
Ga  0.000  0.000  0.000
Ga  0.583  0.083  0.166
Ga  0.226  0.226  0.452
Ga  0.774  0.774  0.548
Er  0.500  0.500  0.000
Er  0.667  0.667  0.334
Er  0.333  0.333  0.666
Co  0.142  0.142  0.283
Co  0.858  0.858  0.717

---

# 4
Here is a relaxed structure of CoCuTe2 from the Alexandria database. Energies are from PBE.

Calculated values
Symmetry: Immm (71)
Total moment (μB per cell): 1.2
Formation energy from raw total energies (kJ per mole of atoms): 42.7
Relative energy among the computed polymorphs (meV/atom): 402

a = 4.980 Å, b = 4.980 Å, c = 4.980 Å
α = 133.12°, β = 113.83°, γ = 84.98°
Last column: magnetic moment on the atom in μB.
Sites, in units of the cell vectors:
Te  0.014  0.014  0.000  0.00
Te  0.486  0.486  0.000  0.00
Cu  0.750  0.250  0.500  0.00
Co  0.250  0.750  0.500  1.19

---

# 5
Here is a relaxed structure of PmPr2Nd4Sc from the Alexandria database. Energies are from PBE.

Calculated values
Symmetry: Pmmm (47)
Total moment (μB per cell): 0.0
ΔH_f (0 K) (meV per atom): 29

a = 5.143 Å, b = 5.130 Å, c = 11.496 Å
α = 63.48°, β = 90.00°, γ = 90.00°
Sites, in units of the cell vectors:
Nd  0.500  0.744  0.256
Nd  0.000  0.243  0.256
Nd  0.500  0.256  0.744
Nd  0.000  0.757  0.744
Pr  0.000  0.000  0.000
Pr  0.500  0.000  0.500
Pm  0.500  0.500  0.000
Sc  0.000  0.500  0.500

---

# 6
Here is a relaxed structure of K4Sc3PaSe8 from the Alexandria database. Energies are from PBE.

Calculated values
Symmetry: R-3m (166)
Total moment (μB per cell): 2.0
Formation energy from raw total energies (kJ per mole of atoms): -148.0

a = 8.122 Å, b = 8.999 Å, c = 8.122 Å
α = 116.82°, β = 120.00°, γ = 90.00°
Last column: magnetic moment on the atom in μB.
Sites, in units of the cell vectors:
Sc  0.500  0.500  0.500  0.18
Sc  0.000  0.500  0.500  0.18
Sc  0.500  0.500  0.000  0.18
Se  0.762  0.298  0.523  -0.02
Se  0.275  0.298  0.036  -0.02
Se  0.269  0.306  0.537  0.00
Se  0.731  0.694  0.463  0.00
Se  0.238  0.702  0.964  -0.02
Se  0.238  0.702  0.477  -0.02
Se  0.762  0.298  0.036  -0.02
Se  0.725  0.702  0.964  -0.02
Pa  0.000  0.500  0.000  1.08
K  0.000  0.000  0.500  0.00
K  0.500  0.000  0.000  0.00
K  0.000  0.000  0.000  0.00
K  0.500  0.000  0.500  0.00

---

# 7
Here is a relaxed structure of NaCa9MgP7O28 from the Alexandria database. Energies are from PBE.

Calculated values
Symmetry: R3c (161)
Total moment (μB per cell): 0.0
Formation energy from raw total energies (kJ per mole of atoms): -275.2

a = 13.851 Å, b = 13.851 Å, c = 13.851 Å
α = 44.27°, β = 44.27°, γ = 44.27°
Sites, in units of the cell vectors:
O  0.849  0.753  0.416
O  0.871  0.147  0.878
O  0.878  0.871  0.147
O  0.377  0.635  0.847
O  0.351  0.171  0.629
O  0.916  0.253  0.349
O  0.171  0.629  0.351
O  0.847  0.377  0.635
O  0.347  0.135  0.877
O  0.335  0.890  0.609
O  0.086  0.397  0.646
O  0.135  0.877  0.347
O  0.835  0.109  0.390
O  0.390  0.835  0.109
O  0.614  0.363  0.635
O  0.897  0.586  0.146
O  0.109  0.390  0.835
O  0.877  0.347  0.135
O  0.416  0.849  0.753
O  0.671  0.111  0.689
O  0.671  0.851  0.129
O  0.109  0.253  0.391
O  0.146  0.897  0.586
O  0.147  0.878  0.871
O  0.397  0.646  0.086
O  0.363  0.635  0.614
O  0.689  0.671  0.111
O  0.114  0.135  0.863
O  0.629  0.351  0.171
O  0.890  0.609  0.335
O  0.586  0.146  0.897
O  0.807  0.807  0.807
O  0.753  0.416  0.849
O  0.371  0.378  0.647
O  0.307  0.307  0.307
O  0.189  0.611  0.171
O  0.863  0.114  0.135
O  0.753  0.609  0.891
O  0.391  0.109  0.253
O  0.635  0.847  0.377
O  0.891  0.753  0.609
O  0.646  0.086  0.397
O  0.609  0.891  0.753
O  0.111  0.689  0.671
O  0.635  0.614  0.363
O  0.129  0.671  0.851
O  0.378  0.647  0.371
O  0.349  0.916  0.253
O  0.851  0.129  0.671
O  0.253  0.391  0.109
O  0.135  0.863  0.114
O  0.171  0.189  0.611
O  0.253  0.349  0.916
O  0.647  0.371  0.378
O  0.611  0.171  0.189
O  0.609  0.335  0.890
Mg  0.500  0.500  0.500
Mg  0.000  0.000  0.000
Ca  0.159  0.575  0.562
Ca  0.347  0.938  0.906
Ca  0.558  0.947  0.970
Ca  0.406  0.438  0.847
Ca  0.575  0.562  0.159
Ca  0.847  0.406  0.438
Ca  0.906  0.347  0.938
Ca  0.075  0.659  0.062
Ca  0.659  0.062  0.075
Ca  0.470  0.447  0.058
Ca  0.062  0.075  0.659
Ca  0.947  0.970  0.558
Ca  0.938  0.906  0.347
Ca  0.447  0.058  0.470
Ca  0.058  0.470  0.447
Ca  0.438  0.847  0.406
Ca  0.562  0.159  0.575
Ca  0.970  0.558  0.947
P  0.181  0.224  0.686
P  0.724  0.681  0.186
P  0.681  0.186  0.724
P  0.765  0.765  0.765
P  0.322  0.809  0.772
P  0.265  0.265  0.265
P  0.686  0.181  0.224
P  0.309  0.822  0.272
P  0.822  0.272  0.309
P  0.772  0.322  0.809
P  0.186  0.724  0.681
P  0.809  0.772  0.322
P  0.272  0.309  0.822
P  0.224  0.686  0.181
Na  0.186  0.186  0.186
Na  0.686  0.686  0.686

---

# 8
Here is a relaxed structure of Er2LuCd from the Alexandria database. Energies are from PBE.

Calculated values
Symmetry: P4/mmm (123)
Total moment (μB per cell): 0.0
ΔH_f (0 K) (meV per atom): -58
Relative energy among the computed polymorphs (meV/atom): 80

a = 4.005 Å, b = 5.256 Å, c = 5.256 Å
α = 90.00°, β = 90.00°, γ = 90.00°
Sites, in units of the cell vectors:
Cd  0.500  0.000  0.000
Er  0.000  0.000  0.500
Er  0.000  0.500  0.000
Lu  0.500  0.500  0.500

---

Number 1: VASP energy -18.08 eV per formula unit, mass density 5.79 g cm⁻³. Number 2: VASP energy -28.15 eV per formula unit, mass density 8.95 g cm⁻³. Number 3: VASP energy -54.10 eV per formula unit, mass density 8.37 g cm⁻³. Number 4: VASP energy -15.72 eV per formula unit, mass density 7.93 g cm⁻³. Number 5: VASP energy -39.48 eV per formula unit, mass density 6.42 g cm⁻³. Number 6: VASP energy -85.30 eV per formula unit, mass density 4.37 g cm⁻³. Number 7: VASP energy -328.84 eV per formula unit, mass density 3.03 g cm⁻³. Number 8: VASP energy -14.79 eV per formula unit, mass density 9.33 g cm⁻³.